La5CuSe8: optimized geometry, PBE-GGA.

* uncorrected formation energy: -1.768 eV/atom
* space-group type: No. 82
* DFT total energy: -5.81 eV per atom
* V: 368.7 Å³/f.u.
* total moment: 0.0 μB/cell

abc: 7.8261 7.8261 7.8261
angles: 110.35 110.35 107.73
Closest atoms and distances in Å follow each position.
Fractional positions:
1 La 0.0000 0.0000 0.0000  8 Se 3.00-3.26
2 La 0.1335 0.5128 0.8808  7 Se 2.97-3.22
3 La 0.4872 0.3680 0.6207  7 Se 2.97-3.22
4 La 0.6320 0.2527 0.1192  7 Se 2.97-3.22
5 La 0.7473 0.8665 0.3793  7 Se 2.97-3.22
6 Cu 0.2500 0.7500 0.5000  4 Se 2.81
7 Se 0.0116 0.2505 0.3974  5 La 3.00-3.21
8 Se 0.2289 0.0972 0.7418  1 Cu 2.81, 2 La 2.97-3.10
9 Se 0.3555 0.4871 0.2582  1 Cu 2.81, 2 La 2.97-3.10
10 Se 0.3858 0.9884 0.2389  5 La 3.00-3.21
11 Se 0.5129 0.7711 0.8684  1 Cu 2.81, 2 La 2.97-3.10
12 Se 0.7495 0.1468 0.7611  5 La 3.00-3.21
13 Se 0.8532 0.6142 0.6026  5 La 3.00-3.21
14 Se 0.9028 0.6445 0.1316  1 Cu 2.81, 2 La 2.97-3.10



LaCu2Se: optimized geometry, PBE-GGA.

* uncorrected formation energy: -0.579 eV/atom
* space-group type: No. 47
* DFT total energy: -4.73 eV per atom
* V: 85.9 Å³/f.u.
* total moment: 0.0 μB/cell

abc: 3.9825 4.4732 4.8224
angles: 90.00 90.00 90.00
Closest atoms and distances in Å follow each position.
Fractional positions:
1 La 0.0000 0.0000 0.0000  4 Se 3.13, 8 Cu 3.22
2 Cu 0.5000 0.5000 0.2435  2 Cu 2.35-2.47, 2 Se 2.56
3 Cu 0.5000 0.5000 0.7565  2 Cu 2.35-2.47, 2 Se 2.56
4 Se 0.5000 0.0000 0.5000  4 Cu 2.56



La2CuSe4: optimized geometry, PBE-GGA.

* excess energy over the best structure of this formula in the dataset: 134 meV/atom
* uncorrected formation energy: -1.380 eV/atom
* space-group type: No. 139
* DFT total energy: -5.36 eV per atom
* V: 177.0 Å³/f.u.
* total moment: 0.0 μB/cell

abc: 4.6818 4.6818 16.1531
angles: 90.00 90.00 90.00
Closest atoms and distances in Å follow each position.
Fractional positions:
1 La 0.0000 0.0000 0.1354  5 Se 2.96-3.20
2 La 0.0000 0.0000 0.8646  5 Se 2.96-3.20
3 La 0.5000 0.5000 0.3646  5 Se 2.96-3.20
4 La 0.5000 0.5000 0.6354  5 Se 2.96-3.20
5 Cu 0.0000 0.0000 0.5000  4 Se 2.34
6 Cu 0.5000 0.5000 0.0000  4 Se 2.34
7 Se 0.0000 0.0000 0.3188  1 Cu 2.93, 1 La 2.96
8 Se 0.0000 0.0000 0.6812  1 Cu 2.93, 1 La 2.96
9 Se 0.0000 0.5000 0.0000  2 Cu 2.34
10 Se 0.0000 0.5000 0.5000  2 Cu 2.34
11 Se 0.5000 0.0000 0.0000  2 Cu 2.34
12 Se 0.5000 0.0000 0.5000  2 Cu 2.34
13 Se 0.5000 0.5000 0.1812  1 Cu 2.93, 1 La 2.96
14 Se 0.5000 0.5000 0.8188  1 Cu 2.93, 1 La 2.96



LaCu2Se: optimized geometry, PBE-GGA.

* uncorrected formation energy: -0.353 eV/atom
* space-group type: No. 216
* DFT total energy: -4.50 eV per atom
* V: 82.9 Å³/f.u.
* total moment: 0.0 μB/cell

abc: 6.9229 6.9229 6.9229
angles: 90.00 90.00 90.00
Closest atoms and distances in Å follow each position.
Fractional positions:
1 La 0.0000 0.0000 0.0000  4 Se 3.00, 4 Cu 3.00
2 La 0.0000 0.5000 0.5000  4 Se 3.00, 4 Cu 3.00
3 La 0.5000 0.0000 0.5000  4 Se 3.00, 4 Cu 3.00
4 La 0.5000 0.5000 0.0000  4 Se 3.00, 4 Cu 3.00
5 Cu 0.0000 0.0000 0.5000  4 Se 3.00, 4 Cu 3.00
6 Cu 0.0000 0.5000 0.0000  4 Se 3.00, 4 Cu 3.00
7 Cu 0.2500 0.2500 0.7500  4 La 3.00, 4 Cu 3.00
8 Cu 0.2500 0.7500 0.2500  4 La 3.00, 4 Cu 3.00
9 Cu 0.5000 0.0000 0.0000  4 Se 3.00, 4 Cu 3.00
10 Cu 0.5000 0.5000 0.5000  4 Cu 3.00, 4 Se 3.00
11 Cu 0.7500 0.2500 0.2500  4 La 3.00, 4 Cu 3.00
12 Cu 0.7500 0.7500 0.7500  4 Cu 3.00, 4 La 3.00
13 Se 0.2500 0.2500 0.2500  4 La 3.00, 4 Cu 3.00
14 Se 0.2500 0.7500 0.7500  4 La 3.00, 4 Cu 3.00
15 Se 0.7500 0.2500 0.7500  4 La 3.00, 4 Cu 3.00
16 Se 0.7500 0.7500 0.2500  4 La 3.00, 4 Cu 3.00



LaCu2Se: optimized geometry, PBE-GGA.

* uncorrected formation energy: -0.405 eV/atom
* space-group type: No. 122
* DFT total energy: -4.56 eV per atom
* V: 88.1 Å³/f.u.
* total moment: 0.0 μB/cell

abc: 4.3194 4.3194 18.8889
angles: 90.00 90.00 90.00
Closest atoms and distances in Å follow each position.
Fractional positions:
1 La 0.0000 0.0000 0.0000  4 Se 3.05, 4 Cu 3.09
2 La 0.0000 0.5000 0.2500  4 Se 3.05, 4 Cu 3.09
3 La 0.5000 0.0000 0.7500  4 Se 3.05, 4 Cu 3.09
4 La 0.5000 0.5000 0.5000  4 Se 3.05, 4 Cu 3.09
5 Cu 0.1129 0.2500 0.6250  2 Cu 2.37, 2 Se 2.64
6 Cu 0.2500 0.6129 0.8750  2 Cu 2.37, 2 Se 2.64
7 Cu 0.2500 0.8871 0.3750  2 Cu 2.37, 2 Se 2.64
8 Cu 0.3871 0.2500 0.1250  2 Cu 2.37, 2 Se 2.64
9 Cu 0.6129 0.7500 0.1250  2 Cu 2.37, 2 Se 2.64
10 Cu 0.7500 0.1129 0.3750  2 Cu 2.37, 2 Se 2.64
11 Cu 0.7500 0.3871 0.8750  2 Cu 2.37, 2 Se 2.64
12 Cu 0.8871 0.7500 0.6250  2 Cu 2.37, 2 Se 2.64
13 Se 0.0000 0.0000 0.5000  4 Cu 2.64
14 Se 0.0000 0.5000 0.7500  4 Cu 2.64
15 Se 0.5000 0.0000 0.2500  4 Cu 2.64
16 Se 0.5000 0.5000 0.0000  4 Cu 2.64



LaCu2Se: optimized geometry, PBE-GGA.

* uncorrected formation energy: -0.331 eV/atom
* space-group type: No. 166
* DFT total energy: -4.48 eV per atom
* V: 81.2 Å³/f.u.
* total moment: 0.0 μB/cell

abc: 4.2984 4.2984 15.2173
angles: 90.00 90.00 120.00
Closest atoms and distances in Å follow each position.
Fractional positions:
1 La 0.0000 0.0000 0.0000  8 Cu 3.05-3.30
2 La 0.3333 0.6667 0.6667  8 Cu 3.05-3.30
3 La 0.6667 0.3333 0.3333  8 Cu 3.05-3.30
4 Cu 0.0000 0.0000 0.2165  3 Se 2.60
5 Cu 0.0000 0.0000 0.7835  3 Se 2.60
6 Cu 0.3333 0.6667 0.4501  3 Se 2.60
7 Cu 0.3333 0.6667 0.8832  3 Se 2.60
8 Cu 0.6667 0.3333 0.1168  3 Se 2.60
9 Cu 0.6667 0.3333 0.5499  3 Se 2.60
10 Se 0.0000 0.0000 0.5000  6 Cu 2.60
11 Se 0.3333 0.6667 0.1667  6 Cu 2.60
12 Se 0.6667 0.3333 0.8333  6 Cu 2.60



> Which of these has the lowest V?

number 6



> Which value of total moment does entry 5 give?

0.0 μB/cell



Repeat the fourth record exactly.
LaCu2Se: optimized geometry, PBE-GGA.

* uncorrected formation energy: -0.353 eV/atom
* space-group type: No. 216
* DFT total energy: -4.50 eV per atom
* V: 82.9 Å³/f.u.
* total moment: 0.0 μB/cell

abc: 6.9229 6.9229 6.9229
angles: 90.00 90.00 90.00
Closest atoms and distances in Å follow each position.
Fractional positions:
1 La 0.0000 0.0000 0.0000  4 Se 3.00, 4 Cu 3.00
2 La 0.0000 0.5000 0.5000  4 Se 3.00, 4 Cu 3.00
3 La 0.5000 0.0000 0.5000  4 Se 3.00, 4 Cu 3.00
4 La 0.5000 0.5000 0.0000  4 Se 3.00, 4 Cu 3.00
5 Cu 0.0000 0.0000 0.5000  4 Se 3.00, 4 Cu 3.00
6 Cu 0.0000 0.5000 0.0000  4 Se 3.00, 4 Cu 3.00
7 Cu 0.2500 0.2500 0.7500  4 La 3.00, 4 Cu 3.00
8 Cu 0.2500 0.7500 0.2500  4 La 3.00, 4 Cu 3.00
9 Cu 0.5000 0.0000 0.0000  4 Se 3.00, 4 Cu 3.00
10 Cu 0.5000 0.5000 0.5000  4 Cu 3.00, 4 Se 3.00
11 Cu 0.7500 0.2500 0.2500  4 La 3.00, 4 Cu 3.00
12 Cu 0.7500 0.7500 0.7500  4 Cu 3.00, 4 La 3.00
13 Se 0.2500 0.2500 0.2500  4 La 3.00, 4 Cu 3.00
14 Se 0.2500 0.7500 0.7500  4 La 3.00, 4 Cu 3.00
15 Se 0.7500 0.2500 0.7500  4 La 3.00, 4 Cu 3.00
16 Se 0.7500 0.7500 0.2500  4 La 3.00, 4 Cu 3.00